Entry from Alexandria: a geometry-optimized TlAgI2 structure (PBE-GGA).

Unit cell a=4.5329 b=4.5329 c=8.4265 alpha=74.40 beta=74.40 gamma=60.00
Closest atoms and distances in Å follow each position.
Positions (direct):
Tl: 0.4998 0.4998 0.5007  6 I 3.51-3.52
Ag: 0.6669 0.6669 0.9994  6 I 3.09-3.10
I: 0.0689 0.0689 0.7932  3 Ag 3.09
I: 0.2644 0.2644 0.2067  3 Ag 3.10


Entry from Alexandria: a geometry-optimized MnAg2Mo structure (PBE-GGA).

* ΔE_f: 8.5 kcal/mol of atoms

Unit cell a=2.9254 b=2.9254 c=7.5304 alpha=90.00 beta=90.00 gamma=90.00
Closest atoms and distances in Å follow each position.
Positions (direct):
Ag: 0.0000 0.0000 0.9943  8 Ag 2.93-2.94, 4 Mo 3.03
Ag: 0.5000 0.5000 0.2717  4 Mn 2.86, 8 Ag 2.93-2.94
Mn: 0.0000 0.0000 0.5338  4 Mo 2.42
Mo: 0.5000 0.5000 0.7002  4 Mn 2.42


Entry from Alexandria: a geometry-optimized Cs2SiTc structure (PBE-GGA).

Unit cell a=9.1671 b=9.1671 c=9.1671 alpha=93.74 beta=93.74 gamma=150.39
Closest atoms and distances in Å follow each position.
Positions (direct):
Cs: 0.1250 0.3750 0.2500  2 Tc 3.19
Cs: 0.1250 0.8750 0.7500  2 Tc 3.19
Cs: 0.1250 0.8750 0.2500  2 Tc 3.19
Cs: 0.6250 0.8750 0.7500  2 Tc 3.19
Si: 0.5000 0.5000 0.0000  2 Tc 2.34
Si: 0.7500 0.2500 0.5000  2 Tc 2.34
Tc: 0.0000 0.0000 0.0000  2 Si 2.34
Tc: 0.2500 0.7500 0.5000  2 Si 2.34


Entry from Alexandria: a geometry-optimized HfAuN2 structure (PBE-GGA).

Unit cell a=4.9477 b=4.9477 c=6.1261 alpha=66.18 beta=66.18 gamma=90.00
Closest atoms and distances in Å follow each position.
Positions (direct):
Hf: 0.5000 0.5000 0.0000  4 N 2.06
Hf: 0.2500 0.7500 0.5000  4 N 2.06
Au: 0.0000 0.0000 0.0000  4 N 2.26
Au: 0.7500 0.2500 0.5000  4 N 2.26
N: 0.5888 0.1250 0.2500  2 Hf 2.06, 2 Au 2.26
N: 0.1612 0.6250 0.2500  2 Hf 2.06, 2 Au 2.26
N: 0.3750 0.4112 0.7500  2 Hf 2.06, 2 Au 2.26
N: 0.8750 0.8388 0.7500  2 Hf 2.06, 2 Au 2.26


The uncorrected energy results, record by record, are as follows: -2.47; -6.06; -3.58; -7.67 eV per atom.